The following is a GGA-PBEsol calculation of a relaxed Ta2CuAu crystal, from Alexandria via LeMat-Bulk.

Values from the calculation:
As for the final energy: -33.5 eV/f.u. The density of states at the Fermi level is 0.740 states/eV per atom.

abc: 2.8228 2.8228 7.9831
angles: 90.00 90.00 90.00
Space group P4mm (No. 99)
One atom of each set of equivalent atoms:
1 Ta 0.0000 0.0000 0.0000 x1
2 Ta 0.5000 0.5000 0.2802 x1
3 Cu 0.5000 0.5000 0.7693 x1
4 Au 0.0000 0.0000 0.5415 x1